(1)
Material: NbSbOs2
Method: DFT, PBE
State: optimized geometry

a b c (Å): 7.239 7.239 7.239
angles (deg): 132.69 132.69 69.15
Positions (direct):
Nb: 0.000 0.000 0.000
Nb: 0.750 0.250 0.500
Sb: 0.250 0.750 0.500
Sb: 0.500 0.500 0.000
Os: 0.114 0.625 0.989
Os: 0.375 0.364 0.489
Os: 0.636 0.125 0.011
Os: 0.875 0.886 0.511

Results
N(E_F) in states/eV per atom: 0.586
ΔE_f (raw) in eV/atom: 1.0639
Theoretical density in g/cm³: 9.83


(2)
Material: TaSnTeI2
Method: DFT, PBE
State: optimized geometry

a b c (Å): 5.827 5.827 5.865
angles (deg): 90.00 90.00 90.00
Positions (direct):
Ta: 0.000 0.000 0.000
Sn: 0.500 0.500 0.500
Te: 0.500 0.500 0.000
I: 0.000 0.500 0.500
I: 0.500 0.000 0.500

Results
N(E_F) in states/eV per atom: 1.513
ΔE_f (raw) in eV/atom: 1.1864
Theoretical density in g/cm³: 5.68


(3)
Material: KCoBiBr6
Method: DFT, PBE
State: optimized geometry

a b c (Å): 7.175 7.175 7.280
angles (deg): 90.14 90.14 120.25
Positions (direct):
K: 0.000 0.000 0.000
Co: 0.333 0.667 0.500
Bi: 0.667 0.333 0.500
Br: 0.030 0.385 0.714
Br: 0.030 0.645 0.287
Br: 0.355 0.970 0.713
Br: 0.360 0.388 0.284
Br: 0.612 0.640 0.716
Br: 0.615 0.970 0.286

Results
N(E_F) in states/eV per atom: 0.065
ΔE_f (raw) in eV/atom: -0.7980
Theoretical density in g/cm³: 4.03


(4)
Material: CrTe2HI
Method: DFT, PBE
State: optimized geometry

a b c (Å): 4.320 4.320 7.714
angles (deg): 90.00 90.00 90.00
Positions (direct):
Cr: 0.000 0.000 0.000
Te: 0.000 0.500 0.500
Te: 0.500 0.000 0.500
H: 0.500 0.500 0.500
I: 0.500 0.500 0.000

Results
Total DFT energy (no corrections) in eV/cell: -18.43
N(E_F) in states/eV per atom: 0.263
Theoretical density in g/cm³: 5.02


(5)
Material: PmNdZrSc
Method: DFT, PBE
State: optimized geometry

a b c (Å): 5.450 5.450 5.450
angles (deg): 60.00 60.00 60.00
Positions (direct):
Pm: 0.000 0.000 0.000
Nd: 0.250 0.250 0.250
Zr: 0.750 0.750 0.750
Sc: 0.500 0.500 0.500

Results
N(E_F) in states/eV per atom: 2.187
Formation enthalpy at 0 K in eV/atom: 0.237
Theoretical density in g/cm³: 6.17


(6)
Material: AgHg2P
Method: DFT, PBE
State: optimized geometry

a b c (Å): 4.884 4.884 4.884
angles (deg): 60.00 60.00 60.00
Positions (direct):
Ag: 0.000 0.000 0.000
Hg: 0.250 0.250 0.250
Hg: 0.500 0.500 0.500
P: 0.750 0.750 0.750

Results
N(E_F) in states/eV per atom: 0.376
Formation enthalpy at 0 K in eV/atom: 0.423
Theoretical density in g/cm³: 10.88


(7)
Material: Zn2FeCo
Method: DFT, PBE
State: optimized geometry

a b c (Å): 2.574 3.816 5.105
angles (deg): 90.00 90.24 90.00
Positions (direct):
Zn: 0.001 0.000 0.253
Zn: 0.999 0.000 0.747
Fe: 0.500 0.500 0.000
Co: 0.500 0.500 0.500

Results
N(E_F) in states/eV per atom: 1.049
Formation enthalpy at 0 K in eV/atom: 0.029
Theoretical density in g/cm³: 8.13


(8)
Material: TaCu2Pd9
Method: DFT, PBE
State: optimized geometry

a b c (Å): 3.935 3.935 11.673
angles (deg): 90.00 90.00 90.00
Positions (direct):
Ta: 0.000 0.000 0.000
Cu: 0.000 0.000 0.339
Cu: 0.000 0.000 0.661
Pd: 0.000 0.500 0.166
Pd: 0.000 0.500 0.500
Pd: 0.000 0.500 0.834
Pd: 0.500 0.000 0.166
Pd: 0.500 0.000 0.500
Pd: 0.500 0.000 0.834
Pd: 0.500 0.500 0.000
Pd: 0.500 0.500 0.333
Pd: 0.500 0.500 0.667

Results
N(E_F) in states/eV per atom: 1.113
Formation enthalpy at 0 K in eV/atom: -0.222
Theoretical density in g/cm³: 11.63


(9)
Material: Li6Cl4O
Method: DFT, PBE
State: optimized geometry

a b c (Å): 6.870 6.870 12.191
angles (deg): 107.24 107.24 58.75
Positions (direct):
Li: 0.000 0.381 0.548
Li: 0.016 0.554 0.202
Li: 0.031 0.969 0.500
Li: 0.174 0.782 0.805
Li: 0.340 0.974 0.329
Li: 0.381 0.000 0.048
Li: 0.397 0.547 0.986
Li: 0.547 0.397 0.486
Li: 0.554 0.016 0.702
Li: 0.782 0.174 0.305
Li: 0.969 0.031 0.000
Li: 0.974 0.340 0.829
Cl: 0.187 0.399 0.026
Cl: 0.215 0.991 0.701
Cl: 0.266 0.676 0.359
Cl: 0.399 0.187 0.526
Cl: 0.644 0.891 0.222
Cl: 0.676 0.266 0.859
Cl: 0.891 0.644 0.722
Cl: 0.991 0.215 0.201
O: 0.245 0.833 0.960
O: 0.833 0.245 0.460

Results
N(E_F) in states/eV per atom: 0.000
ΔE_f (raw) in eV/atom: -1.7199
Theoretical density in g/cm³: 1.43


(10)
Material: Sc2IrPt
Method: DFT, PBE
State: optimized geometry

a b c (Å): 4.595 4.595 4.595
angles (deg): 60.00 60.00 60.00
Positions (direct):
Sc: 0.000 0.000 0.000
Sc: 0.250 0.250 0.250
Ir: 0.500 0.500 0.500
Pt: 0.750 0.750 0.750

Results
N(E_F) in states/eV per atom: 1.123
Formation enthalpy at 0 K in eV/atom: -0.636
Theoretical density in g/cm³: 11.55


(11)
Material: Y2Ho6Tm
Method: DFT, PBE
State: optimized geometry

a b c (Å): 3.533 7.885 10.584
angles (deg): 77.09 89.90 77.06
Positions (direct):
Y: 0.166 0.168 0.388
Y: 0.834 0.832 0.612
Ho: 0.166 0.166 0.056
Ho: 0.166 0.169 0.722
Ho: 0.500 0.499 0.834
Ho: 0.500 0.501 0.166
Ho: 0.834 0.831 0.278
Ho: 0.834 0.834 0.944
Tm: 0.500 0.500 0.500

Results
N(E_F) in states/eV per atom: 1.275
Formation enthalpy at 0 K in eV/atom: 0.021
Theoretical density in g/cm³: 7.93


(12)
Material: LiCa2Zn5
Method: DFT, PBE
State: optimized geometry

a b c (Å): 8.488 8.488 9.179
angles (deg): 90.00 90.00 149.71
Positions (direct):
Li: 0.057 0.943 0.750
Li: 0.943 0.057 0.250
Ca: 0.298 0.702 0.250
Ca: 0.500 0.500 0.000
Ca: 0.500 0.500 0.500
Ca: 0.702 0.298 0.750
Zn: 0.103 0.897 0.250
Zn: 0.154 0.846 0.521
Zn: 0.154 0.846 0.979
Zn: 0.315 0.685 0.610
Zn: 0.315 0.685 0.890
Zn: 0.685 0.315 0.110
Zn: 0.685 0.315 0.390
Zn: 0.846 0.154 0.021
Zn: 0.846 0.154 0.479
Zn: 0.897 0.103 0.750

Results
N(E_F) in states/eV per atom: 0.560
Formation enthalpy at 0 K in eV/atom: -0.182
Theoretical density in g/cm³: 4.12